Entry 1:
{"formula": "TaSnAsSe2", "functional": "PBE", "state": "relaxed", "raw_formation_energy_mev_per_atom": -26, "polymorph_energy_mev_per_atom": 0, "lattice_angstrom": [[4.999, 0.000, 0.000], [0.000, 4.999, 0.000], [0.000, 0.000, 5.179]], "species": ["Ta", "Sn", "As", "Se", "Se"], "fractional_positions": [[0.000, 0.000, 0.000], [0.500, 0.500, 0.500], [0.000, 0.000, 0.500], [0.000, 0.500, 0.000], [0.500, 0.000, 0.000]]}

***

Entry 2:
{"formula": "KCaAu3", "functional": "PBE", "state": "relaxed", "polymorph_energy_mev_per_atom": 0, "e_form_ev_per_fu": -0.9, "lattice_angstrom": [[5.653, 0.000, 0.000], [0.000, 5.653, 0.000], [0.000, 0.000, 5.653]], "species": ["K", "Ca", "Au", "Au", "Au"], "fractional_positions": [[0.000, 0.000, 0.000], [0.500, 0.500, 0.500], [0.000, 0.500, 0.500], [0.500, 0.000, 0.500], [0.500, 0.500, 0.000]]}

***

Entry 3:
{"formula": "K3SbTe", "functional": "PBE", "state": "relaxed", "raw_formation_energy_mev_per_atom": -658, "polymorph_energy_mev_per_atom": 0, "lattice_angstrom": [[9.079, -2.340, 0.000], [9.079, 2.340, 0.000], [-1.900, 0.000, 10.343]], "species": ["K", "K", "K", "K", "K", "K", "Sb", "Sb", "Te", "Te"], "fractional_positions": [[0.054, 0.054, 0.145], [0.236, 0.236, 0.839], [0.397, 0.397, 0.403], [0.603, 0.603, 0.597], [0.764, 0.764, 0.161], [0.946, 0.946, 0.855], [0.208, 0.208, 0.439], [0.792, 0.792, 0.561], [0.396, 0.396, 0.089], [0.604, 0.604, 0.911]]}

***

Entry 4:
{"formula": "Sr2As2Au", "functional": "PBE", "state": "relaxed", "polymorph_energy_mev_per_atom": 112, "e_form_ev_per_fu": -4.0, "lattice_angstrom": [[7.777, 0.000, 0.000], [0.000, 7.777, 0.000], [0.000, 0.000, 4.416]], "species": ["Sr", "Sr", "Sr", "Sr", "As", "As", "As", "As", "Au", "Au"], "fractional_positions": [[0.183, 0.317, 0.000], [0.317, 0.817, 0.000], [0.683, 0.183, 0.000], [0.817, 0.683, 0.000], [0.114, 0.614, 0.500], [0.386, 0.114, 0.500], [0.614, 0.886, 0.500], [0.886, 0.386, 0.500], [0.000, 0.000, 0.500], [0.500, 0.500, 0.500]]}